Entry from the Alexandria database: an optimized crystal structure of TlBMo2Rh (GGA-PBE).

The energy of formation comes out at 2200 meV per atom. As for the total energy: -27.06 eV per formula unit. The calculation puts the volume at 23.3 Å³/atom.

The structure belongs to space group P4/mmm (No. 123); the cell edges are 4.7765, 4.7765 and 5.0959 Å and the angles 90.00°, 90.00° and 90.00°. The distinct sites, in fractional coordinates, are Tl at (0.0000, 0.0000, 0.0000), B at (0.5000, 0.5000, 0.0000), Mo at (0.0000, 0.5000, 0.5000) and Rh at (0.0000, 0.0000, 0.5000).